Computed, not measured: a relaxed Mg2ZnIn crystal at the PBE-GGA level of DFT.

Computed properties:
Total magnetic moment = 0.00 μB per cell
DFT total energy = -1.672 eV per atom
Formation enthalpy at 0 K = 0.13 eV per atom

abc: 7.9283 7.9283 6.3497
angles: 51.37 51.37 90.00
With the nearest neighbours (Å) after each atom.
Positions (direct):
Zn 0.2500 0.7500 0.5000  4 Mg 2.74, 2 In 2.98
Zn 0.5000 0.5000 0.0000  4 Mg 2.74, 2 In 2.98
Mg 0.8750 0.8444 0.7500  2 Zn 2.74, 2 Mg 3.02
Mg 0.3750 0.4056 0.7500  2 Zn 2.74, 2 Mg 3.02
Mg 0.5944 0.1250 0.2500  2 Zn 2.74, 2 Mg 3.02
Mg 0.1556 0.6250 0.2500  2 Zn 2.74, 2 Mg 3.02
In 0.7500 0.2500 0.5000  2 Zn 2.98, 4 Mg 3.07
In 0.0000 0.0000 0.0000  2 Zn 2.98, 4 Mg 3.07